# 1
MgNb | PBE | relaxed

Values from the calculation:
DFT formation energy, kJ/mol of atoms: 64
D(E_F), states/eV/f.u.: 1.421
VASP energy, eV per atom: -5.1738
Symmetry: Fddd, No. 70

The structure in POSCAR format:
```
MgNb
1.0
-0.4992 7.3984 -2.4914
-3.0316 2.1416 6.9672
9.7776 1.8961 3.6716
Mg Nb
16 16
Cartesian
4.7701 7.3175 6.5348 Mg
-0.0391 5.1894 5.0963 Mg
6.3655 5.0667 3.4485 Mg
-1.6804 3.5104 2.6621 Mg
4.6002 9.8367 5.6864 Mg
0.1309 2.6702 5.9446 Mg
-0.4142 6.1388 -2.0672 Mg
4.7242 3.3876 1.0143 Mg
2.9588 8.1576 3.2522 Mg
6.5355 2.5475 4.2968 Mg
4.5542 5.9068 0.1660 Mg
1.3971 5.2986 1.2154 Mg
1.2271 7.8178 0.3670 Mg
-1.8504 6.0296 1.8138 Mg
-0.0850 1.2596 -0.4242 Mg
3.2880 3.2785 4.8952 Mg
-2.8036 5.5034 4.6239 Nb
4.4112 1.2854 2.9334 Nb
-0.6813 7.9664 5.3724 Nb
2.6458 6.0554 5.1714 Nb
3.6010 5.3806 2.9761 Nb
2.3348 2.7523 7.7054 Nb
4.4571 5.2153 8.4539 Nb
-0.7272 4.0366 -0.1480 Nb
-1.9934 1.4082 4.5813 Nb
2.0393 2.5216 0.9392 Nb
6.6785 7.1689 1.5294 Nb
1.0841 3.1964 3.1345 Nb
5.4123 4.5405 6.2586 Nb
5.7233 7.8437 3.7246 Nb
-1.0382 0.7334 2.3860 Nb
0.2739 7.2916 3.1772 Nb
```

***

# 2
MgNb | PBE | relaxed

Values from the calculation:
DFT formation energy, kJ/mol of atoms: 259
D(E_F), states/eV/f.u.: 2.795
VASP energy, eV per atom: -3.1438
Symmetry: Pm-3n, No. 223

The structure in POSCAR format:
```
MgNb
1.0
7.6452 0.0000 0.0000
0.0000 7.6452 0.0000
0.0000 0.0000 7.6452
Mg Nb
6 6
Cartesian
1.9113 0.0000 3.8226 Mg
0.0000 3.8226 1.9113 Mg
0.0000 3.8226 5.7339 Mg
5.7339 0.0000 3.8226 Mg
3.8226 5.7339 0.0000 Mg
3.8226 1.9113 0.0000 Mg
5.7339 3.8226 0.0000 Nb
0.0000 5.7339 3.8226 Nb
0.0000 1.9113 3.8226 Nb
3.8226 0.0000 5.7339 Nb
3.8226 0.0000 1.9113 Nb
1.9113 3.8226 0.0000 Nb
```

***

Which value of D(E_F) does entry 2 give?
2.795 states/eV/f.u.

***

Among the records above, which one has the lowest VASP energy?
number 1

***

Please write out number 2 again, unchanged.
MgNb | PBE | relaxed

Values from the calculation:
DFT formation energy, kJ/mol of atoms: 259
D(E_F), states/eV/f.u.: 2.795
VASP energy, eV per atom: -3.1438
Symmetry: Pm-3n, No. 223

The structure in POSCAR format:
```
MgNb
1.0
7.6452 0.0000 0.0000
0.0000 7.6452 0.0000
0.0000 0.0000 7.6452
Mg Nb
6 6
Cartesian
1.9113 0.0000 3.8226 Mg
0.0000 3.8226 1.9113 Mg
0.0000 3.8226 5.7339 Mg
5.7339 0.0000 3.8226 Mg
3.8226 5.7339 0.0000 Mg
3.8226 1.9113 0.0000 Mg
5.7339 3.8226 0.0000 Nb
0.0000 5.7339 3.8226 Nb
0.0000 1.9113 3.8226 Nb
3.8226 0.0000 5.7339 Nb
3.8226 0.0000 1.9113 Nb
1.9113 3.8226 0.0000 Nb
```